DFT (PBE) results for a geometry-optimized Ba2CdIn2 structure.

a b c (Å): 5.3369 7.0870 10.8656
angles (deg): 110.13 90.00 112.12
Fractional positions:
Cd1 0.7242 0.4484 0.7286
Ba1 0.6015 0.2030 0.3848
In1 0.1024 0.2048 0.6482
In2 0.9737 0.9473 0.8528
Ba2 0.3985 0.7970 0.6152
Ba3 0.6585 0.3170 0.0319
Ba4 0.3415 0.6830 0.9681
In3 0.8976 0.7952 0.3518
Cd2 0.2758 0.5516 0.2715
In4 0.0263 0.0527 0.1472

Values from the calculation:
Relative energy among the computed polymorphs ... 31.3 meV/atom
Volume ... 176.7 Å³/f.u.
Energy of formation ... -35 kJ per mole of atoms
Total energy ... -2.410 eV per atom